Entry 1:
! Pu3Tl5I12 GGA-PBE relaxed; values from VASP
&SYSTEM
  ibrav = 0, nat = 80, ntyp = 3
/
ATOMIC_SPECIES
Pu 244.00 Pu.upf
Tl 204.38 Tl.upf
I 126.90 I.upf
CELL_PARAMETERS angstrom
-9.8441 9.8441 9.8441
9.8441 -9.8441 9.8441
9.8441 9.8441 -9.8441
ATOMIC_POSITIONS angstrom
Pu 4.9221 2.4610 0.0000
Pu 9.8441 4.9221 -2.4610
Pu 2.4610 0.0000 4.9221
Pu 12.3051 0.0000 4.9221
Pu 0.0000 4.9221 2.4610
Pu 4.9221 -2.4610 9.8441
Pu 4.9221 12.3051 0.0000
Pu 9.8441 4.9221 7.3831
Pu -2.4610 9.8441 4.9221
Pu 7.3831 9.8441 4.9221
Pu 0.0000 4.9221 12.3051
Pu 4.9221 7.3831 9.8441
Tl 0.0000 0.0000 0.0000
Tl 4.9221 4.9221 -4.9221
Tl 4.9221 -4.9221 4.9221
Tl 9.8441 0.0000 0.0000
Tl 14.7662 2.4610 0.0000
Tl 9.8441 -4.9221 7.3831
Tl 7.3831 9.8441 -4.9221
Tl 7.3831 0.0000 4.9221
Tl 4.9221 7.3831 0.0000
Tl 9.8441 4.9221 2.4610
Tl -4.9221 4.9221 4.9221
Tl 0.0000 9.8441 0.0000
Tl 0.0000 0.0000 9.8441
Tl 4.9221 4.9221 4.9221
Tl 0.0000 4.9221 7.3831
Tl 4.9221 2.4610 9.8441
Tl 2.4610 9.8441 4.9221
Tl 2.4610 0.0000 14.7662
Tl 0.0000 14.7662 2.4610
Tl -4.9221 7.3831 9.8441
I 2.9528 -0.4206 1.6840
I 11.8134 6.6060 -5.3426
I 9.4235 -1.6840 2.9528
I 15.1867 -1.9693 3.2381
I 12.7969 0.4206 1.6840
I 11.8134 -3.2381 5.3426
I 1.6840 2.9528 -0.4206
I 13.0822 4.5015 -1.9693
I 6.6060 5.3426 -1.9693
I 8.1602 2.9528 0.4206
I -0.4206 1.6840 2.9528
I 5.3426 -1.9693 6.6060
I 9.4235 8.1602 -2.9528
I 5.3426 1.9693 3.2381
I 8.1602 -2.9528 9.4235
I 6.6060 -5.3426 11.8134
I 3.2381 5.3426 1.9693
I 11.5281 6.8913 0.4206
I 2.9528 9.4235 -1.6840
I 11.8134 3.2381 4.5015
I 5.3426 11.8134 -3.2381
I 1.9693 3.2381 5.3426
I 2.9528 0.4206 8.1602
I 9.4235 1.6840 6.8913
I 0.4206 8.1602 2.9528
I 6.8913 9.4235 1.6840
I 7.8748 6.6060 4.5015
I 4.5015 -1.9693 13.0822
I -1.9693 6.6060 5.3426
I 6.8913 0.4206 11.5281
I -1.6840 2.9528 9.4235
I 6.6060 4.5015 7.8748
I 3.2381 15.1867 -1.9693
I 1.6840 12.7969 0.4206
I 4.5015 7.8748 6.6060
I 0.4206 1.6840 12.7969
I 4.5015 11.8134 3.2381
I 10.2647 8.1602 6.8913
I 1.6840 6.8913 9.4235
I 3.2381 4.5015 11.8134
I -3.2381 5.3426 11.8134
I 8.1602 6.8913 10.2647
I -1.9693 13.0822 4.5015
I -2.9528 9.4235 8.1602
I -5.3426 11.8134 6.6060
I 0.4206 11.5281 6.8913
I -1.9693 3.2381 15.1867
I 6.8913 10.2647 8.1602
! DFT total energy: -0.320 Ry/atom



Entry 2:
! PuTlI4 GGA-PBE relaxed; values from VASP
&SYSTEM
  ibrav = 0, nat = 6, ntyp = 3
/
ATOMIC_SPECIES
Pu 244.00 Pu.upf
Tl 204.38 Tl.upf
I 126.90 I.upf
CELL_PARAMETERS angstrom
7.4053 -2.3123 0.0000
7.4053 2.3123 0.0000
-1.7929 0.0000 8.5562
ATOMIC_POSITIONS angstrom
Pu 0.0000 0.0000 0.0000
Tl 6.5089 0.0000 4.2781
I 1.2583 0.0000 2.7855
I 5.4596 0.0000 0.8666
I 7.5582 0.0000 7.6896
I 11.7595 0.0000 5.7707
! E above lowest polymorph: 0 meV per atom
! DFT total energy: -0.349 Ry/atom



Entry 3:
! PuTlI6 GGA-PBE relaxed; values from VASP
&SYSTEM
  ibrav = 0, nat = 8, ntyp = 3
/
ATOMIC_SPECIES
Pu 244.00 Pu.upf
Tl 204.38 Tl.upf
I 126.90 I.upf
CELL_PARAMETERS angstrom
3.9304 2.2692 7.0830
-3.9304 2.2692 7.0830
0.0000 -4.5384 7.0830
ATOMIC_POSITIONS angstrom
Pu 0.0000 0.0000 0.0000
Tl 0.0000 0.0000 10.6245
I -1.4332 -2.5802 8.7745
I -2.9511 -0.0489 12.4746
I -1.5179 2.5313 8.7745
I 1.5179 -2.5313 12.4746
I 2.9511 0.0489 8.7745
I 1.4332 2.5802 12.4746
! DFT total energy: -0.287 Ry/atom



Entry 4:
! Pu2Tl5I12 GGA-PBE relaxed; values from VASP
&SYSTEM
  ibrav = 0, nat = 19, ntyp = 3
/
ATOMIC_SPECIES
Pu 244.00 Pu.upf
Tl 204.38 Tl.upf
I 126.90 I.upf
CELL_PARAMETERS angstrom
9.6172 -4.5337 0.0000
9.6172 4.5337 0.0000
-3.5967 0.0000 10.5205
ATOMIC_POSITIONS angstrom
Pu 9.6172 2.2912 0.0000
Pu 9.6172 -2.2912 0.0000
Tl 0.6483 0.0000 8.2857
Tl 2.8192 0.0000 3.9657
Tl 7.8189 0.0000 5.2602
Tl 12.8186 0.0000 6.5548
Tl 14.9895 0.0000 2.2348
I -0.5650 0.0000 2.0838
I 3.1486 2.3542 9.7400
I 5.2902 2.2942 4.6883
I 10.3475 2.2942 5.8321
I 12.4892 2.3542 0.7805
I 6.5257 0.0000 8.5137
I 9.1121 0.0000 2.0068
I 3.1486 -2.3542 9.7400
I 5.2902 -2.2942 4.6883
I 10.3475 -2.2942 5.8321
I 12.4892 -2.3542 0.7805
I 16.2028 0.0000 8.4367
! DFT total energy: -0.285 Ry/atom



The evaluated E_form (uncorrected) for the records listed, in turn: -0.684 -0.929 -0.650 -0.768 eV per atom.